Pu2PH3: relaxed, PBE.

Summary:
Raw total energy in eV per atom: -7.9132
N(E_F) in states/eV per cell: 54.30
Spin magnetization in μB per formula unit: 10.00

a b c (Å): 11.139 3.721 8.723
angles (deg): 90.00 120.81 90.00
Space group C2/m (No. 12)
One atom of each set of equivalent atoms:
Pu (0.058, 0.000, 0.368) x4
Pu (0.155, 0.500, 0.077) x4
P (0.173, 0.500, 0.656) x4
H (0.039, 0.500, 0.221) x4
H (0.059, 0.000, 0.123) x4
H (0.144, 0.000, 0.913) x4